This record from Alexandria via LeMat-Bulk describes an optimized crystal structure of Li2YSbS4. The functional is PBE.

Cell and atoms, written as CIF:
```
data_Li2YSbS4
_chemical_formula_sum 'Li4 Y2 Sb2 S8'
_symmetry_space_group_name_H-M 'P 1'
_symmetry_Int_Tables_number 1
_cell_length_a 7.779
_cell_length_b 7.779
_cell_length_c 7.779
_cell_angle_alpha 120.41
_cell_angle_beta 119.93
_cell_angle_gamma 89.70
loop_
_symmetry_equiv_pos_as_xyz
'x,y,z'
loop_
_atom_site_label
_atom_site_fract_x
_atom_site_fract_y
_atom_site_fract_z
Li1 0.000 0.000 0.000
Li2 0.500 0.000 0.000
Li3 0.500 0.000 0.500
Li4 0.500 0.500 0.500
Y1 0.000 0.500 0.500
Y2 0.500 0.500 0.000
Sb1 0.000 0.000 0.500
Sb2 0.000 0.500 0.000
S1 0.249 0.249 0.500
S2 0.249 0.749 0.000
S3 0.253 0.749 0.503
S4 0.254 0.251 0.003
S5 0.746 0.749 0.997
S6 0.747 0.251 0.497
S7 0.751 0.251 0.000
S8 0.751 0.751 0.500
```

Properties
Energy relative to the elements, uncorrected in eV/atom: -1.25
DFT total energy in eV/atom: -5.115
Density in g cm⁻³: 3.5
SG: No. 74



This record from Alexandria via LeMat-Bulk describes an optimized crystal structure of Pu2Ga4Tc. The functional is PBE.

Cell and atoms, written as CIF:
```
data_Pu2Ga4Tc
_chemical_formula_sum 'Pu2 Ga4 Tc1'
_symmetry_space_group_name_H-M 'P 1'
_symmetry_Int_Tables_number 1
_cell_length_a 6.189
_cell_length_b 6.176
_cell_length_c 5.447
_cell_angle_alpha 63.98
_cell_angle_beta 63.74
_cell_angle_gamma 52.28
loop_
_symmetry_equiv_pos_as_xyz
'x,y,z'
loop_
_atom_site_label
_atom_site_fract_x
_atom_site_fract_y
_atom_site_fract_z
Pu1 0.000 0.000 0.500
Pu2 0.500 0.500 0.000
Ga1 0.071 0.434 0.566
Ga2 0.434 0.071 0.929
Ga3 0.566 0.930 0.434
Ga4 0.930 0.566 0.070
Tc1 0.001 0.001 0.999
```

Properties
E_form in eV per atom: -0.12
DFT total energy in eV/atom: -7.423
Density in g cm⁻³: 10.0
SG: No. 42



This record from Alexandria via LeMat-Bulk describes an optimized crystal structure of Na3Al7Ag4. The functional is PBE.

Cell and atoms, written as CIF:
```
data_Na3Al7Ag4
_chemical_formula_sum 'Na3 Al7 Ag4'
_symmetry_space_group_name_H-M 'P 1'
_symmetry_Int_Tables_number 1
_cell_length_a 8.166
_cell_length_b 8.166
_cell_length_c 9.630
_cell_angle_alpha 121.33
_cell_angle_beta 121.33
_cell_angle_gamma 31.05
loop_
_symmetry_equiv_pos_as_xyz
'x,y,z'
loop_
_atom_site_label
_atom_site_fract_x
_atom_site_fract_y
_atom_site_fract_z
Na1 0.000 0.000 0.000
Na2 0.302 0.302 0.304
Na3 0.698 0.698 0.696
Al1 0.000 0.000 0.500
Al2 0.142 0.142 0.420
Al3 0.318 0.318 0.983
Al4 0.497 0.497 0.695
Al5 0.503 0.503 0.305
Al6 0.682 0.682 0.017
Al7 0.858 0.858 0.580
Ag1 0.117 0.117 0.832
Ag2 0.337 0.337 0.720
Ag3 0.663 0.663 0.280
Ag4 0.883 0.883 0.168
```

Properties
E_form in eV per atom: -0.02
DFT total energy in eV/atom: -2.990
Density in g cm⁻³: 4.1
SG: No. 12



This record from Alexandria via LeMat-Bulk describes an optimized crystal structure of TmMgTl6. The functional is PBE.

Cell and atoms, written as CIF:
```
data_TmMgTl6
_chemical_formula_sum 'Tm2 Mg2 Tl12'
_symmetry_space_group_name_H-M 'P 1'
_symmetry_Int_Tables_number 1
_cell_length_a 9.250
_cell_length_b 10.016
_cell_length_c 4.736
_cell_angle_alpha 90.00
_cell_angle_beta 90.00
_cell_angle_gamma 90.00
loop_
_symmetry_equiv_pos_as_xyz
'x,y,z'
loop_
_atom_site_label
_atom_site_fract_x
_atom_site_fract_y
_atom_site_fract_z
Tm1 0.000 0.000 0.000
Tm2 0.500 0.500 0.000
Mg1 0.000 0.500 0.000
Mg2 0.500 0.000 0.000
Tl1 0.000 0.240 0.500
Tl2 0.000 0.760 0.500
Tl3 0.237 0.500 0.500
Tl4 0.250 0.250 0.000
Tl5 0.250 0.750 0.000
Tl6 0.263 0.000 0.500
Tl7 0.500 0.260 0.500
Tl8 0.500 0.740 0.500
Tl9 0.737 0.000 0.500
Tl10 0.750 0.250 0.000
Tl11 0.750 0.750 0.000
Tl12 0.763 0.500 0.500
```

Properties
E_form in eV per atom: -0.04
DFT total energy in eV/atom: -2.572
Density in g cm⁻³: 10.7
SG: No. 65



This record from Alexandria via LeMat-Bulk describes an optimized crystal structure of Nd6SmDyEr2. The functional is PBE.

Cell and atoms, written as CIF:
```
data_Nd6SmDyEr2
_chemical_formula_sum 'Nd12 Sm2 Dy2 Er4'
_symmetry_space_group_name_H-M 'P 1'
_symmetry_Int_Tables_number 1
_cell_length_a 8.946
_cell_length_b 8.946
_cell_length_c 9.663
_cell_angle_alpha 93.75
_cell_angle_beta 93.75
_cell_angle_gamma 117.27
loop_
_symmetry_equiv_pos_as_xyz
'x,y,z'
loop_
_atom_site_label
_atom_site_fract_x
_atom_site_fract_y
_atom_site_fract_z
Nd1 0.009 0.562 0.186
Nd2 0.114 0.761 0.555
Nd3 0.239 0.886 0.945
Nd4 0.294 0.513 0.382
Nd5 0.438 0.991 0.314
Nd6 0.487 0.706 0.118
Nd7 0.513 0.294 0.882
Nd8 0.562 0.009 0.686
Nd9 0.706 0.487 0.618
Nd10 0.761 0.114 0.055
Nd11 0.886 0.239 0.445
Nd12 0.991 0.438 0.814
Sm1 0.029 0.971 0.250
Sm2 0.971 0.029 0.750
Dy1 0.410 0.590 0.750
Dy2 0.590 0.410 0.250
Er1 0.201 0.298 0.048
Er2 0.298 0.201 0.548
Er3 0.702 0.799 0.452
Er4 0.799 0.702 0.952
```

Properties
E_form in eV per atom: 0.12
DFT total energy in eV/atom: -4.590
Density in g cm⁻³: 7.4
SG: No. 15



This record from Alexandria via LeMat-Bulk describes an optimized crystal structure of Sm4Ge2SeS. The functional is PBE.

Cell and atoms, written as CIF:
```
data_Sm4Ge2SeS
_chemical_formula_sum 'Sm4 Ge2 Se1 S1'
_symmetry_space_group_name_H-M 'P 1'
_symmetry_Int_Tables_number 1
_cell_length_a 7.235
_cell_length_b 4.182
_cell_length_c 7.274
_cell_angle_alpha 90.00
_cell_angle_beta 109.35
_cell_angle_gamma 90.00
loop_
_symmetry_equiv_pos_as_xyz
'x,y,z'
loop_
_atom_site_label
_atom_site_fract_x
_atom_site_fract_y
_atom_site_fract_z
Sm1 0.244 0.000 0.244
Sm2 0.247 0.500 0.753
Sm3 0.753 0.500 0.247
Sm4 0.756 0.000 0.756
Ge1 0.000 0.500 0.000
Ge2 0.500 0.000 0.000
Se1 0.500 0.500 0.500
S1 0.000 0.000 0.500
```

Properties
Energy relative to the elements, uncorrected in eV/atom: -1.42
DFT total energy in eV/atom: -5.889
Density in g cm⁻³: 6.9
SG: No. 10



This record from Alexandria via LeMat-Bulk describes an optimized crystal structure of PrHoGePd. The functional is PBE.

Cell and atoms, written as CIF:
```
data_PrHoGePd
_chemical_formula_sum 'Pr2 Ho2 Ge2 Pd2'
_symmetry_space_group_name_H-M 'P 1'
_symmetry_Int_Tables_number 1
_cell_length_a 4.334
_cell_length_b 4.047
_cell_length_c 11.076
_cell_angle_alpha 90.00
_cell_angle_beta 90.00
_cell_angle_gamma 90.00
loop_
_symmetry_equiv_pos_as_xyz
'x,y,z'
loop_
_atom_site_label
_atom_site_fract_x
_atom_site_fract_y
_atom_site_fract_z
Pr1 0.000 0.000 0.000
Pr2 0.000 0.500 0.500
Ho1 0.500 0.000 0.276
Ho2 0.500 0.500 0.776
Ge1 0.500 0.000 0.566
Ge2 0.500 0.500 0.066
Pd1 0.000 0.000 0.723
Pd2 0.000 0.500 0.223
```

Properties
E_form in eV per atom: -0.83
DFT total energy in eV/atom: -5.625
Density in g cm⁻³: 8.3
SG: No. 38



This record from Alexandria via LeMat-Bulk describes an optimized crystal structure of Ca2AsF. The functional is PBE.

Cell and atoms, written as CIF:
```
data_Ca2AsF
_chemical_formula_sum 'Ca6 As3 F3'
_symmetry_space_group_name_H-M 'P 1'
_symmetry_Int_Tables_number 1
_cell_length_a 4.187
_cell_length_b 4.187
_cell_length_c 17.863
_cell_angle_alpha 90.00
_cell_angle_beta 90.00
_cell_angle_gamma 120.00
loop_
_symmetry_equiv_pos_as_xyz
'x,y,z'
loop_
_atom_site_label
_atom_site_fract_x
_atom_site_fract_y
_atom_site_fract_z
Ca1 0.000 0.000 0.249
Ca2 0.000 0.000 0.751
Ca3 0.333 0.667 0.418
Ca4 0.333 0.667 0.915
Ca5 0.667 0.333 0.085
Ca6 0.667 0.333 0.582
As1 0.000 0.000 0.000
As2 0.333 0.667 0.667
As3 0.667 0.333 0.333
F1 0.000 0.000 0.500
F2 0.333 0.667 0.167
F3 0.667 0.333 0.833
```

Properties
Energy relative to the elements, uncorrected in eV/atom: -1.98
DFT total energy in eV/atom: -4.606
Density in g cm⁻³: 3.2
SG: No. 166